A relaxed structure of MnAg3O. Source: Alexandria, functional PBE with a Hubbard U.

Geometry as extended XYZ:
```
5
Lattice="4.5207 0.0000 0.0000 0.0000 4.5207 0.0000 0.0000 0.0000 4.5207" Properties=species:S:1:pos:R:3 pbc="T T T"
Mn 2.2604 2.2604 2.2604
O 0.0000 0.0000 0.0000
Ag 0.0000 2.2604 0.0000
Ag 0.0000 0.0000 2.2604
Ag 2.2604 0.0000 0.0000
```

Calculated values
Its density of states at the Fermi level is 0.70 states/eV per atom. As for the symmetry: Pm-3m, No. 221. The calculation puts the volume at 18.48 A^3/atom. For the final energy, the calculation gives -3.93 eV/atom.